The following is a PBE calculation of a relaxed structure of TbGdCo2Pb, from OQMD via LeMat-Bulk.

abc: 3.877 7.333 7.333
angles: 30.50 90.00 90.00
Site moments in Bohr magnetons follow the coordinates.
Positions (direct):
Co: 0.000 0.206 0.206  0.89
Co: 0.000 0.794 0.794  0.89
Gd: 0.500 0.640 0.640  -0.13
Pb: 0.000 0.000 0.000  -0.01
Tb: 0.500 0.359 0.359  -0.14

The following is a PBE calculation of a relaxed structure of GdYCo2Pb, from OQMD via LeMat-Bulk.

abc: 3.873 7.372 7.372
angles: 30.45 90.00 90.00
Site moments in Bohr magnetons follow the coordinates.
Positions (direct):
Co: 0.000 0.208 0.208  0.99
Co: 0.000 0.792 0.792  0.99
Gd: 0.500 0.360 0.360  -0.14
Pb: 0.000 0.001 0.001  -0.01
Y: 0.500 0.639 0.639  -0.11

The following is a PBE calculation of a relaxed structure of GdCoPd, from OQMD via LeMat-Bulk.

Properties
E_form ... -0.004 eV per atom

abc: 4.515 4.515 4.515
angles: 60.00 60.00 60.00
Site moments in Bohr magnetons follow the coordinates.
Positions (direct):
Co: 0.750 0.750 0.750  1.69
Gd: 0.250 0.250 0.250  -0.14
Pd: 0.000 0.000 0.000  0.07

The following is a PBE calculation of a relaxed structure of Gd2CoPd, from OQMD via LeMat-Bulk.

Properties
E_form ... -0.477 eV per atom

abc: 4.100 5.716 5.716
angles: 39.90 90.00 90.00
Positions (direct):
Co: 0.000 0.584 0.584
Gd: 0.500 0.139 0.139
Gd: 0.000 0.851 0.851
Pd: 0.500 0.425 0.425

| no. | final energy (eV per atom) |
| --- | --- |
| 1 | -5.77 |
| 2 | -6.14 |
| 3 | -5.65 |
| 4 | -5.87 |